#a
FeTe3Pb | PBE | optimized geometry

Cell lengths 5.1339, 5.1339, 5.1339 Å; angles 90.00, 90.00, 90.00 degrees
Sites, in units of the cell vectors:
Te 0.0000 0.5000 0.0000
Te 0.5000 0.0000 0.0000
Te 0.0000 0.0000 0.5000
Fe 0.0000 0.0000 0.0000
Pb 0.5000 0.5000 0.5000

Fermi-level density of states = 9.37 states/eV per cell
SG = No. 221

#b
FeTe3Pb | PBE | optimized geometry

Cell lengths 5.8242, 5.8242, 5.8242 Å; angles 90.00, 90.00, 90.00 degrees
Each line ends with the local moment (μB).
Sites, in units of the cell vectors:
Pb 0.0000 0.0000 0.0000  -0.02
Te 0.0000 0.0000 0.5000  0.01
Te 0.0000 0.5000 0.0000  0.01
Te 0.5000 0.0000 0.0000  0.01
Fe 0.5000 0.5000 0.5000  3.41

Fermi-level density of states = 9.79 states/eV per cell
SG = No. 221

Stability verdict: #a, ahead by 843 meV per atom

#a
Th4FePb2 | PBE | optimized geometry

Cell lengths 6.3457, 6.7717, 10.4890 Å; angles 90.00, 114.98, 90.00 degrees
Sites, in units of the cell vectors:
Fe 0.8251 0.2500 0.8278
Fe 0.1749 0.7500 0.1722
Th 0.4939 0.9883 0.7388
Th 0.5061 0.0117 0.2612
Th 0.8835 0.2500 0.6070
Th 0.1165 0.7500 0.3930
Th 0.9000 0.2500 0.0861
Th 0.1000 0.7500 0.9139
Th 0.4939 0.5117 0.7388
Th 0.5061 0.4883 0.2612
Pb 0.2972 0.2500 0.9468
Pb 0.7028 0.7500 0.0532
Pb 0.2298 0.2500 0.4345
Pb 0.7702 0.7500 0.5655

Fermi-level density of states = 14.30 states/eV per cell
SG = No. 11

#b
Th4FePb2 | PBE | optimized geometry

Cell lengths 4.9639, 4.9639, 9.4242 Å; angles 105.27, 105.27, 90.00 degrees
Sites, in units of the cell vectors:
Th 0.0000 0.5000 0.0000
Th 0.1671 0.1671 0.3342
Th 0.5000 0.0000 0.0000
Th 0.8329 0.8329 0.6658
Fe 0.0000 0.0000 0.0000
Pb 0.6447 0.6447 0.2894
Pb 0.3553 0.3553 0.7106

Fermi-level density of states = 4.77 states/eV per cell
SG = No. 139

Stability verdict: #b, ahead by 34 meV per atom

#a
Th4FePb | PBE | optimized geometry

Cell lengths 6.0998, 9.1744, 7.8815 Å; angles 116.42, 100.42, 110.75 degrees
Sites, in units of the cell vectors:
Pb 0.6341 0.3841 0.7682
Pb 0.3659 0.6159 0.2318
Fe 0.7481 0.9981 0.9963
Fe 0.2519 0.0019 0.0037
Th 0.6096 0.0541 0.3305
Th 0.2210 0.2765 0.3305
Th 0.7524 0.3818 0.1943
Th 0.0581 0.1875 0.8057
Th 0.2476 0.6182 0.8057
Th 0.7790 0.7235 0.6695
Th 0.3904 0.9459 0.6695
Th 0.9419 0.8125 0.1943

Fermi-level density of states = 16.65 states/eV per cell
SG = No. 15

#b
Th4FePb | PBE | optimized geometry

Cell lengths 6.0437, 6.5666, 9.0565 Å; angles 90.00, 102.08, 90.00 degrees
Sites, in units of the cell vectors:
Th 0.1686 0.2500 0.1666
Th 0.2648 0.4913 0.6573
Th 0.6277 0.2500 0.9949
Th 0.2648 0.0087 0.6573
Th 0.8314 0.7500 0.8334
Th 0.7352 0.5087 0.3427
Th 0.3723 0.7500 0.0051
Th 0.7352 0.9913 0.3427
Fe 0.1632 0.2500 0.8968
Fe 0.8368 0.7500 0.1032
Pb 0.7662 0.2500 0.6655
Pb 0.2338 0.7500 0.3345

Fermi-level density of states = 12.55 states/eV per cell
SG = No. 11

Stability verdict: #a, ahead by 88 meV per atom

#a
Tl2FePb | PBE | optimized geometry

Cell lengths 7.5717, 7.5717, 7.5717 Å; angles 156.01, 143.80, 43.90 degrees
Each line ends with the local moment (μB).
Sites, in units of the cell vectors:
Fe 0.4970 0.4970 0.0000  2.56
Tl 0.0017 0.0017 0.0000  -0.06
Tl 0.6783 0.1783 0.5000  -0.02
Pb 0.3229 0.8229 0.5000  -0.04

Fermi-level density of states = 3.23 states/eV per cell
SG = No. 44

#b
Tl2FePb | PBE | optimized geometry

Cell lengths 5.6142, 5.6142, 3.3941 Å; angles 90.00, 90.00, 107.75 degrees
Each line ends with the local moment (μB).
Sites, in units of the cell vectors:
Tl 0.5000 0.5000 0.0000  -0.01
Tl 0.0000 0.0000 0.0000  -0.01
Pb 0.0000 0.5000 0.5000  -0.01
Fe 0.5000 0.0000 0.5000  3.08

Fermi-level density of states = 4.06 states/eV per cell
SG = No. 65

#c
Tl2FePb | PBE | optimized geometry

Cell lengths 3.3214, 3.3214, 9.1243 Å; angles 90.00, 90.00, 99.00 degrees
Each line ends with the local moment (μB).
Sites, in units of the cell vectors:
Fe 0.5000 0.5000 0.2500  2.84
Tl 0.0000 0.0000 0.4518  -0.02
Tl 0.0000 0.0000 0.0482  -0.02
Pb 0.5000 0.5000 0.7500  0.02

Fermi-level density of states = 4.05 states/eV per cell
SG = No. 65

Stability verdict: #a, ahead by 68 meV per atom